1 | Computed, not measured: La2AgHIr after structural relaxation at the GGA-PBE level of DFT.

Properties
Total magnetic moment: 0.000 μB per atom
DOS at the Fermi energy: 2.07 states/eV/f.u.

Geometry as POSCAR:
```
La2AgHIr
1.0
-3.278 -0.130 -4.197
1.010 -5.192 -0.629
-2.816 -0.817 2.225
H La Ag Ir
1 2 1 1
Cartesian
0.000 0.000 0.000 H
-1.639 -0.065 -2.098 La
0.505 -2.596 -0.314 La
-2.542 -3.070 -1.300 Ag
-1.408 -0.409 1.112 Ir
```

2 | Computed, not measured: La2AgHIr after structural relaxation at the GGA-PBE level of DFT.

Properties
Total magnetic moment: 0.000 μB per atom
DOS at the Fermi energy: 3.45 states/eV/f.u.

Geometry as POSCAR:
```
La2AgHIr
1.0
-1.810 -4.204 -2.157
4.018 -2.585 1.667
-1.961 -0.880 3.361
La H Ag Ir
2 1 1 1
Cartesian
-0.905 -2.102 -1.078 La
2.009 -1.292 0.833 La
0.000 0.000 0.000 H
-0.980 -0.440 1.680 Ag
0.124 -3.834 1.435 Ir
```

Stability ranking, top entry: 1; the second entry is 6.9 kJ/mol of atoms less favorable.